Entry 1:
This record from Alexandria via LeMat-Bulk describes a relaxed structure of Y2ZnFe. The functional is PBE.

Unit cell a=3.398 b=3.398 c=7.689 alpha=90.00 beta=90.00 gamma=90.00
Space group P4mm (No. 99)
Symmetry-distinct sites (fractional):
1 Y 0.000 0.000 0.000 x1
2 Y 0.500 0.500 0.378 x1
3 Zn 0.000 0.000 0.623 x1
4 Fe 0.500 0.500 0.758 x1

Computed properties:
Final energy in eV per atom: -5.63



Entry 2:
This record from Alexandria via LeMat-Bulk describes a relaxed structure of Ta2CoP. The functional is PBE.

Unit cell a=3.183 b=3.183 c=5.833 alpha=90.00 beta=90.00 gamma=90.00
Space group P4/mmm (No. 123)
Symmetry-distinct sites (fractional):
1 Ta 0.000 0.000 0.243 x2
2 Co 0.500 0.500 0.500 x1
3 P 0.500 0.500 0.000 x1

Computed properties:
Final energy in eV per atom: -9.26



Entry 3:
This record from Alexandria via LeMat-Bulk describes a relaxed structure of YMn2Fe. The functional is PBE.

Unit cell a=3.0077 b=3.0077 c=26.9815 alpha=90.00 beta=90.00 gamma=120.00
Space group R-3m (No. 166, hexagonal axes)
Symmetry-distinct sites (fractional):
1 Y 0.0000 0.0000 0.0000 x3
2 Mn 0.0000 0.0000 0.2372 x6
3 Fe 0.0000 0.0000 0.5000 x3

Computed properties:
Energy above the most stable polymorph in this dataset in eV/f.u.: 1.94



Entry 4:
This record from Alexandria via LeMat-Bulk describes a relaxed structure of Hf2TlPb. The functional is PBE.

Unit cell a=7.187 b=7.187 c=7.187 alpha=90.00 beta=90.00 gamma=90.00
Space group Fm-3m (No. 225)
Symmetry-distinct sites (fractional):
1 Hf 0.250 0.250 0.250 x8
2 Tl 0.000 0.000 0.000 x4
3 Pb 0.000 0.000 0.500 x4

Computed properties:
Energy above the most stable polymorph in this dataset in eV/f.u.: 0.60



Entry 5:
This record from Alexandria via LeMat-Bulk describes a relaxed structure of Nd3Al2Sn3. The functional is PBE.

Unit cell a=4.817 b=11.438 c=15.516 alpha=90.00 beta=90.00 gamma=90.00
Space group Cmcm (No. 63)
Symmetry-distinct sites (fractional):
1 Nd 0.000 0.053 0.250 x4
2 Nd 0.000 0.147 0.534 x8
3 Al 0.000 0.334 0.163 x8
4 Sn 0.000 0.233 0.750 x4
5 Sn 0.000 0.441 0.591 x8

Computed properties:
Energy above the most stable polymorph in this dataset in eV/f.u.: 0.97



Entry 6:
This record from Alexandria via LeMat-Bulk describes a relaxed structure of CaLa6Nd8. The functional is PBE.

Unit cell a=10.0323 b=10.0323 c=18.7644 alpha=90.00 beta=90.00 gamma=120.00
Space group R-3 (No. 148, hexagonal axes)
Symmetry-distinct sites (fractional):
1 Ca 0.0000 0.0000 0.0000 x3
2 La 0.0211 0.7823 0.4050 x18
3 Nd 0.0000 0.0000 0.2274 x6
4 Nd 0.0444 0.7601 0.9010 x18

Computed properties:
Final energy in eV per atom: -4.52



Entry 7:
This record from Alexandria via LeMat-Bulk describes a relaxed structure of Ce5Pu2Ge5. The functional is PBE.

Unit cell a=14.353 b=4.157 c=11.906 alpha=90.00 beta=121.51 gamma=90.00
Space group C2/m (No. 12)
Symmetry-distinct sites (fractional):
1 Ce 0.000 0.000 0.000 x2
2 Ce 0.145 0.000 0.484 x4
3 Ce 0.178 0.000 0.803 x4
4 Pu 0.075 0.500 0.306 x4
5 Ge 0.000 0.500 0.500 x2
6 Ge 0.120 0.500 0.940 x4
7 Ge 0.215 0.000 0.284 x4

Computed properties:
Energy above the most stable polymorph in this dataset in eV/f.u.: 0.20



Entry 8:
This record from Alexandria via LeMat-Bulk describes a relaxed structure of Co2AgSe. The functional is PBE.

Unit cell a=6.724 b=6.724 c=5.355 alpha=90.00 beta=90.00 gamma=90.00
Space group I-42d (No. 122)
Symmetry-distinct sites (fractional):
1 Co 0.198 0.250 0.125 x8
2 Ag 0.000 0.000 0.500 x4
3 Se 0.000 0.000 0.000 x4

Computed properties:
ΔE_f (raw) in meV per atom: 463



Entry 9:
This record from Alexandria via LeMat-Bulk describes a relaxed structure of Pm2Pr5Dy4. The functional is PBE.

Unit cell a=3.563 b=9.273 c=23.714 alpha=90.00 beta=90.00 gamma=90.00
Space group Immm (No. 71)
Symmetry-distinct sites (fractional):
1 Pm 0.000 0.000 0.231 x4
2 Pr 0.000 0.200 0.355 x8
3 Pr 0.000 0.500 0.000 x2
4 Dy 0.000 0.000 0.096 x4
5 Dy 0.000 0.313 0.500 x4

Computed properties:
Energy above the most stable polymorph in this dataset in eV/f.u.: 1.16



Entry 10:
This record from Alexandria via LeMat-Bulk describes a relaxed structure of Pu3Cu2Pd7. The functional is PBE.

Unit cell a=5.4774 b=5.4774 c=26.3378 alpha=90.00 beta=90.00 gamma=120.00
Space group R-3m (No. 166, hexagonal axes)
Symmetry-distinct sites (fractional):
1 Pu 0.0000 0.0000 0.0000 x3
2 Pu 0.0000 0.0000 0.1965 x6
3 Cu 0.0000 0.0000 0.3280 x6
4 Pd 0.0000 0.0000 0.5000 x3
5 Pd 0.0033 0.5016 0.2506 x18

Computed properties:
Final energy in eV per atom: -7.53



Entry 11:
This record from Alexandria via LeMat-Bulk describes a relaxed structure of MgZn2Si. The functional is PBE.

Unit cell a=3.1380 b=3.1380 c=24.6022 alpha=90.00 beta=90.00 gamma=120.00
Space group R-3m (No. 166, hexagonal axes)
Symmetry-distinct sites (fractional):
1 Mg 0.0000 0.0000 0.0000 x3
2 Zn 0.0000 0.0000 0.2432 x6
3 Si 0.0000 0.0000 0.5000 x3

Computed properties:
Energy above the most stable polymorph in this dataset in eV/f.u.: 0.53
ΔE_f (raw) in meV per atom: 195



Entry 12:
This record from Alexandria via LeMat-Bulk describes a relaxed structure of TlAg2Te2. The functional is PBE.

Unit cell a=7.325 b=5.840 c=7.197 alpha=90.00 beta=108.62 gamma=90.00
Space group C2/m (No. 12)
Symmetry-distinct sites (fractional):
1 Tl 0.000 0.000 0.000 x2
2 Ag 0.000 0.250 0.500 x4
3 Te 0.173 0.500 0.255 x4

Computed properties:
Energy above the most stable polymorph in this dataset in eV/f.u.: 0.03
ΔE_f (raw) in meV per atom: -124



Entry 13:
This record from Alexandria via LeMat-Bulk describes a relaxed structure of Tc2AsOs. The functional is PBE.

Unit cell a=2.982 b=4.440 c=4.450 alpha=90.00 beta=90.00 gamma=90.00
Space group Pmmm (No. 47)
Symmetry-distinct sites (fractional):
1 Tc 0.000 0.000 0.000 x1
2 Tc 0.500 0.500 0.000 x1
3 As 0.000 0.500 0.500 x1
4 Os 0.500 0.000 0.500 x1

Computed properties:
Final energy in eV per atom: -8.84



Entry 14:
This record from Alexandria via LeMat-Bulk describes a relaxed structure of YPt2. The functional is PBE.

Unit cell a=8.0934 b=8.0934 c=3.0522 alpha=90.00 beta=90.00 gamma=120.00
Space group P-62m (No. 189)
Symmetry-distinct sites (fractional):
1 Y 0.0000 0.0000 0.0000 x1
2 Y 0.3333 0.6667 0.5000 x2
3 Pt 0.0000 0.3021 0.5000 x3
4 Pt 0.0000 0.6363 0.0000 x3

Computed properties:
Final energy in eV per atom: -6.91



Entry 15:
This record from Alexandria via LeMat-Bulk describes a relaxed structure of PuTh3Te4. The functional is PBE.

Unit cell a=8.866 b=12.599 c=4.473 alpha=90.00 beta=90.00 gamma=90.00
Space group Cmmm (No. 65)
Symmetry-distinct sites (fractional):
1 Pu 0.000 0.000 0.000 x2
2 Th 0.000 0.500 0.000 x2
3 Th 0.250 0.250 0.500 x4
4 Te 0.000 0.247 0.000 x4
5 Te 0.244 0.000 0.500 x4

Computed properties:
ΔE_f (raw) in meV per atom: -1040



Entry 16:
This record from Alexandria via LeMat-Bulk describes a relaxed structure of La6SiIr2Br3. The functional is PBE.

Unit cell a=7.429 b=12.847 c=8.139 alpha=90.00 beta=107.76 gamma=90.00
Space group C2/m (No. 12)
Symmetry-distinct sites (fractional):
1 La 0.221 0.000 0.201 x4
2 La 0.240 0.327 0.202 x8
3 Si 0.000 0.500 0.000 x2
4 Ir 0.000 0.167 0.000 x4
5 Br 0.000 0.000 0.500 x2
6 Br 0.000 0.338 0.500 x4

Computed properties:
ΔE_f (raw) in meV per atom: -1158



Entry 17:
This record from Alexandria via LeMat-Bulk describes a relaxed structure of BaDyF4. The functional is PBE.

Unit cell a=4.257 b=16.575 c=6.303 alpha=90.00 beta=90.00 gamma=90.00
Space group Cmc2_1 (No. 36)
Symmetry-distinct sites (fractional):
1 Ba 0.000 0.170 0.000 x4
2 Dy 0.000 0.425 0.030 x4
3 F 0.000 0.114 0.584 x4
4 F 0.000 0.304 0.233 x4
5 F 0.000 0.330 0.780 x4
6 F 0.000 0.449 0.388 x4

Computed properties:
ΔE_f (raw) in meV per atom: -3645



Entry 18:
This record from Alexandria via LeMat-Bulk describes a relaxed structure of Ba8Tl2Pt. The functional is PBE.

Unit cell a=21.155 b=6.006 c=8.100 alpha=90.00 beta=106.86 gamma=90.00
Space group C2/m (No. 12)
Symmetry-distinct sites (fractional):
1 Ba 0.028 0.000 0.303 x4
2 Ba 0.092 0.500 0.910 x4
3 Ba 0.152 0.500 0.456 x4
4 Ba 0.212 0.000 0.799 x4
5 Tl 0.183 0.000 0.211 x4
6 Pt 0.000 0.500 0.500 x2

Computed properties:
Energy above the most stable polymorph in this dataset in eV/f.u.: 0.00



Entry 19:
This record from Alexandria via LeMat-Bulk describes a relaxed structure of Ac3Pm3PuSe8. The functional is PBE.

Unit cell a=8.5373 b=8.5373 c=21.5261 alpha=90.00 beta=90.00 gamma=120.00
Space group R-3m (No. 166, hexagonal axes)
Symmetry-distinct sites (fractional):
1 Ac 0.0000 0.5000 0.0000 x9
2 Pm 0.0000 0.5000 0.5000 x9
3 Pu 0.0000 0.0000 0.5000 x3
4 Se 0.0000 0.0000 0.2442 x6
5 Se 0.0022 0.5011 0.7551 x18

Computed properties:
ΔE_f (raw) in meV per atom: -1834



Entry 20:
This record from Alexandria via LeMat-Bulk describes a relaxed structure of TmPaGa2. The functional is PBE.

Unit cell a=3.283 b=3.283 c=8.041 alpha=90.00 beta=90.00 gamma=90.00
Space group P4/mmm (No. 123)
Symmetry-distinct sites (fractional):
1 Tm 0.000 0.000 0.000 x1
2 Pa 0.000 0.000 0.500 x1
3 Ga 0.500 0.500 0.245 x2

Computed properties:
Energy above the most stable polymorph in this dataset in eV/f.u.: 0.00



Entry 21:
This record from Alexandria via LeMat-Bulk describes a relaxed structure of Pm3ScSi2. The functional is PBE.

Unit cell a=4.273 b=4.483 c=16.065 alpha=90.00 beta=90.00 gamma=90.00
Space group Immm (No. 71)
Symmetry-distinct sites (fractional):
1 Pm 0.000 0.000 0.000 x2
2 Pm 0.000 0.500 0.320 x4
3 Sc 0.000 0.000 0.500 x2
4 Si 0.000 0.500 0.130 x4

Computed properties:
ΔE_f (raw) in meV per atom: -533



Entry 22:
This record from Alexandria via LeMat-Bulk describes a relaxed structure of LiZrAg2. The functional is PBE.

Unit cell a=2.886 b=4.989 c=5.230 alpha=90.00 beta=90.00 gamma=90.00
Space group Pmm2 (No. 25)
Symmetry-distinct sites (fractional):
1 Li 0.000 0.000 0.000 x1
2 Zr 0.000 0.500 0.604 x1
3 Ag 0.500 0.000 0.470 x1
4 Ag 0.500 0.500 0.105 x1

Computed properties:
Final energy in eV per atom: -4.10



Entry 23:
This record from Alexandria via LeMat-Bulk describes a relaxed structure of TmPuReRu. The functional is PBE.

Unit cell a=6.737 b=6.737 c=6.737 alpha=90.00 beta=90.00 gamma=90.00
Space group F-43m (No. 216)
Symmetry-distinct sites (fractional):
1 Tm 0.000 0.000 0.000 x4
2 Pu 0.000 0.000 0.500 x4
3 Re 0.250 0.250 0.250 x4
4 Ru 0.250 0.250 0.750 x4

Computed properties:
Final energy in eV per atom: -10.16



Entry 24:
This record from Alexandria via LeMat-Bulk describes a relaxed structure of BaAsPt2. The functional is PBE.

Unit cell a=4.387 b=4.387 c=9.223 alpha=90.00 beta=90.00 gamma=90.00
Space group I-4m2 (No. 119)
Symmetry-distinct sites (fractional):
1 Ba 0.000 0.000 0.000 x2
2 As 0.000 0.500 0.250 x2
3 Pt 0.000 0.000 0.500 x2
4 Pt 0.000 0.500 0.750 x2

Computed properties:
Final energy in eV per atom: -4.69